Entry 1:
CeVSi2: optimized geometry, PBE. Values from VASP.

Cell and atoms, written as Quantum ESPRESSO input:
```
&SYSTEM
  ibrav = 0, nat = 4, ntyp = 3
/
ATOMIC_SPECIES
Ce 140.12 Ce.upf
V 50.94 V.upf
Si 28.09 Si.upf
CELL_PARAMETERS angstrom
3.2299 0.0000 0.0000
0.0000 3.2299 0.0000
0.0000 0.0000 6.5236
ATOMIC_POSITIONS crystal
Ce 0.0000 0.0000 0.0000
V 0.0000 0.0000 0.5000
Si 0.5000 0.5000 0.3143
Si 0.5000 0.5000 0.6857
```

Values from the calculation:
The calculation puts the energy above the most stable polymorph in this dataset at 14.6 kJ/mol of formula units. As for the total moment: 0.37 μB/cell. As for the energy relative to the elements, uncorrected: -35.0 kJ per mole of atoms.

---

Entry 2:
Y2GaAu: optimized geometry, PBE. Values from VASP.

Cell and atoms, written as Quantum ESPRESSO input:
```
&SYSTEM
  ibrav = 0, nat = 4, ntyp = 3
/
ATOMIC_SPECIES
Y 88.91 Y.upf
Ga 69.72 Ga.upf
Au 196.97 Au.upf
CELL_PARAMETERS angstrom
-1.6361 2.8777 5.9542
1.6361 -2.8777 5.9542
1.6361 2.8777 -5.9542
ATOMIC_POSITIONS crystal
Y 0.2386 0.2386 0.0000
Y 0.7614 0.7614 0.0000
Ga 0.5000 0.5000 0.0000
Au 0.0000 0.0000 0.0000
```

Values from the calculation:
The formation energy comes out at 294 meV/atom. As for the total moment: 0.00 μB/cell.

---

Entry 3:
BaTaCr4: optimized geometry, PBE. Values from VASP.

Cell and atoms, written as Quantum ESPRESSO input:
```
&SYSTEM
  ibrav = 0, nat = 6, ntyp = 3
/
ATOMIC_SPECIES
Ba 137.33 Ba.upf
Ta 180.95 Ta.upf
Cr 52.00 Cr.upf
CELL_PARAMETERS angstrom
0.0000 3.6318 3.6318
3.6318 0.0000 3.6318
3.6318 3.6318 0.0000
ATOMIC_POSITIONS crystal
Ba 0.0000 0.0000 0.0000
Ta 0.2500 0.2500 0.2500
Cr 0.1289 0.6237 0.6237
Cr 0.6237 0.1289 0.6237
Cr 0.6237 0.6237 0.1289
Cr 0.6237 0.6237 0.6237
```

Values from the calculation:
The formation energy comes out at 918 meV/atom. As for the total moment: 0.00 μB/cell.

---

Entry 4:
Sr6Hg3H: optimized geometry, PBE. Values from VASP.

Cell and atoms, written as Quantum ESPRESSO input:
```
&SYSTEM
  ibrav = 0, nat = 20, ntyp = 3
/
ATOMIC_SPECIES
Sr 87.62 Sr.upf
Hg 200.59 Hg.upf
H 1.01 H.upf
CELL_PARAMETERS angstrom
6.4286 -7.8736 0.0000
6.4286 7.8736 0.0000
0.0000 0.0000 7.4315
ATOMIC_POSITIONS crystal
Sr 0.0570 0.9430 0.5000
Sr 0.1140 0.5661 0.4245
Sr 0.2367 0.7633 0.9101
Sr 0.2893 0.3593 0.9227
Sr 0.3593 0.2893 0.4227
Sr 0.4339 0.8860 0.4245
Sr 0.5661 0.1140 0.9245
Sr 0.6407 0.7107 0.9227
Sr 0.7107 0.6407 0.4227
Sr 0.7633 0.2367 0.4101
Sr 0.8860 0.4339 0.9245
Sr 0.9430 0.0570 0.0000
Hg 0.0515 0.2594 0.6266
Hg 0.2594 0.0515 0.1266
Hg 0.4075 0.5925 0.2200
Hg 0.5925 0.4075 0.7200
Hg 0.7406 0.9485 0.6266
Hg 0.9485 0.7406 0.1266
H 0.2130 0.7870 0.5774
H 0.7870 0.2130 0.0774
```

Values from the calculation:
As for the total moment: 0.00 μB/cell. The raw total energy comes out at -1.800 eV per atom.

---

Entry 5:
Li2TcSeBr: optimized geometry, PBE. Values from VASP.

Cell and atoms, written as Quantum ESPRESSO input:
```
&SYSTEM
  ibrav = 0, nat = 5, ntyp = 4
/
ATOMIC_SPECIES
Li 6.94 Li.upf
Tc 98.00 Tc.upf
Se 78.96 Se.upf
Br 79.90 Br.upf
CELL_PARAMETERS angstrom
4.3311 0.0000 0.0000
0.0000 4.3311 0.0000
0.0000 0.0000 7.0960
ATOMIC_POSITIONS crystal
Li 0.0000 0.5000 0.0000
Li 0.5000 0.0000 0.0000
Tc 0.0000 0.0000 0.5000
Se 0.5000 0.5000 0.5000
Br 0.5000 0.5000 0.0000
```

Values from the calculation:
As for the total moment: 3.89 μB/cell. As for the energy relative to the elements, uncorrected: 33.6 kJ per mole of atoms.

---

Entry 6:
SrNiBr2: optimized geometry, PBE. Values from VASP.

Cell and atoms, written as Quantum ESPRESSO input:
```
&SYSTEM
  ibrav = 0, nat = 4, ntyp = 3
/
ATOMIC_SPECIES
Sr 87.62 Sr.upf
Ni 58.69 Ni.upf
Br 79.90 Br.upf
CELL_PARAMETERS angstrom
5.5276 -2.0713 0.0000
5.5276 2.0713 0.0000
-0.2984 0.0000 4.9315
ATOMIC_POSITIONS crystal
Sr 0.0000 0.0000 0.0000
Ni 0.7056 0.7056 0.8282
Br 0.2807 0.2807 0.9775
Br 0.5394 0.5394 0.5035
```

Values from the calculation:
The calculation puts the energy above the most stable polymorph in this dataset at 24.8 kJ/mol of formula units. As for the total moment: 0.00 μB/cell. As for the energy relative to the elements, uncorrected: -89.9 kJ per mole of atoms.

---

Entry 7:
Ag2OsBr: optimized geometry, PBE. Values from VASP.

Cell and atoms, written as Quantum ESPRESSO input:
```
&SYSTEM
  ibrav = 0, nat = 4, ntyp = 3
/
ATOMIC_SPECIES
Ag 107.87 Ag.upf
Os 190.23 Os.upf
Br 79.90 Br.upf
CELL_PARAMETERS angstrom
3.0134 0.0000 0.0000
0.0000 3.0134 0.0000
0.0000 0.0000 8.3242
ATOMIC_POSITIONS crystal
Ag 0.0000 0.0000 0.0000
Ag 0.5000 0.5000 0.2376
Os 0.5000 0.5000 0.7641
Br 0.0000 0.0000 0.5779
```

Values from the calculation:
The calculation puts the energy above the most stable polymorph in this dataset at 62.5 kJ/mol of formula units. As for the total moment: 0.00 μB/cell. As for the energy relative to the elements, uncorrected: 79.6 kJ per mole of atoms.

---

Entry 8:
TlInSb2Pt: optimized geometry, PBE. Values from VASP.

Cell and atoms, written as Quantum ESPRESSO input:
```
&SYSTEM
  ibrav = 0, nat = 5, ntyp = 4
/
ATOMIC_SPECIES
Tl 204.38 Tl.upf
In 114.82 In.upf
Sb 121.76 Sb.upf
Pt 195.08 Pt.upf
CELL_PARAMETERS angstrom
5.6648 0.0000 0.0000
0.0000 5.6648 0.0000
0.0000 0.0000 5.0674
ATOMIC_POSITIONS crystal
Tl 0.0000 0.0000 0.0000
In 0.5000 0.5000 0.5000
Sb 0.0000 0.5000 0.5000
Sb 0.5000 0.0000 0.5000
Pt 0.5000 0.5000 0.0000
```

Values from the calculation:
As for the total moment: 0.00 μB/cell. As for the energy relative to the elements, uncorrected: 59.3 kJ per mole of atoms.